No. 1
Below is an optimized crystal structure of CaTa2TiO8, with properties calculated at the PBE-GGA level.

Cell lengths 4.8386, 4.8386, 6.3483 Å; angles 90.54, 90.54, 87.13 degrees
With the nearest neighbours (Å) after each atom.
Element x y z (fractional)
Ca (0.0000, 0.0000, 0.0000)  6 O 2.27-2.28
Ta (0.4828, 0.4828, 0.7471)  5 O 1.94-2.10
Ta (0.5172, 0.5172, 0.2529)  5 O 1.94-2.10
Ti (0.0000, 0.0000, 0.5000)  6 O 1.94-2.14
O (0.2032, 0.7896, 0.2849)  1 Ti 1.94, 1 Ta 1.97
O (0.2104, 0.7968, 0.7151)  1 Ti 1.94, 1 Ta 1.97
O (0.3049, 0.3049, 0.5012)  2 Ta 1.99-2.18, 1 Ti 2.14
O (0.3244, 0.3244, 0.9960)  2 Ta 1.94-2.10
O (0.6756, 0.6756, 0.0040)  2 Ta 1.94-2.10
O (0.6951, 0.6951, 0.4988)  2 Ta 1.99-2.18, 1 Ti 2.14
O (0.7896, 0.2032, 0.2849)  1 Ti 1.94, 1 Ta 1.97
O (0.7968, 0.2104, 0.7151)  1 Ti 1.94, 1 Ta 1.97

Values from the calculation:
total DFT energy (no corrections): -108.3 eV per cell
E_form (uncorrected): -2.92 eV per atom

=====

No. 2
Below is an optimized crystal structure of CaTaTi2O8, with properties calculated at the PBE-GGA level.

Cell lengths 4.8796, 4.8796, 6.6674 Å; angles 94.56, 94.56, 82.79 degrees
With the nearest neighbours (Å) after each atom.
Element x y z (fractional)
Ca (0.0000, 0.0000, 0.0000)  6 O 2.34-2.40
Ta (0.0000, 0.0000, 0.5000)  6 O 1.99-2.00
Ti (0.4537, 0.4537, 0.7792)  4 O 1.81-1.92
Ti (0.5463, 0.5463, 0.2208)  4 O 1.81-1.92
O (0.2088, 0.7800, 0.7159)  1 Ti 1.92, 1 Ta 2.00
O (0.2200, 0.7912, 0.2841)  1 Ti 1.92, 1 Ta 2.00
O (0.2726, 0.2726, 0.5508)  1 Ti 1.91, 1 Ta 1.99
O (0.3272, 0.3272, 0.9981)  1 Ti 1.81
O (0.6728, 0.6728, 0.0019)  1 Ti 1.81
O (0.7274, 0.7274, 0.4492)  1 Ti 1.91, 1 Ta 1.99
O (0.7800, 0.2088, 0.7159)  1 Ti 1.92, 1 Ta 2.00
O (0.7912, 0.2200, 0.2841)  1 Ti 1.92, 1 Ta 2.00

Values from the calculation:
total DFT energy (no corrections): -102.7 eV per cell
E_form (uncorrected): -2.78 eV per atom